DFT (PBE with a Hubbard U) results for an optimized crystal structure of Rb2PmFeO4.

Computed properties:
DFT total energy, eV per atom: -6.029

a b c (Å): 6.1178 6.1178 8.8626
angles (deg): 90.00 90.00 90.00
With the nearest neighbours (Å) after each atom.
Space group I-4 (No. 82)
Inequivalent atoms, fractional coordinates:
1 Rb 0.0000 0.0000 0.0000 x2  4 O 2.87
2 Rb 0.0000 0.5000 0.2500 x2  4 O 2.96
3 Pm 0.0000 0.0000 0.5000 x2  4 O 2.22
4 Fe 0.0000 0.5000 0.7500 x2  4 O 1.92
5 O 0.1379 0.7267 0.6348 x8  1 Fe 1.92